1.
This record from Alexandria via LeMat-Bulk describes crystalline HoAlS2 at its relaxed geometry. The functional is GGA-PBE.

CIF file:
```
data_HoAlS2
_cell_length_a 3.5837
_cell_length_b 3.5837
_cell_length_c 24.0336
_cell_angle_alpha 90.00
_cell_angle_beta 90.00
_cell_angle_gamma 120.00
_space_group_name_H-M_alt 'R -3 m'
_space_group_IT_number 166
_space_group_name_Hall '-R 3 2"'
loop_
_atom_site_label
_atom_site_type_symbol
_atom_site_fract_x
_atom_site_fract_y
_atom_site_fract_z
Ho1 Ho 0.0000 0.0000 0.0000
Al1 Al 0.0000 0.0000 0.5000
S1 S 0.0000 0.0000 0.1125
```

Output
N(E_F): 4.468 states/eV per cell
size of the total moment: 0.00 μB per formula unit
final energy: -5.10 eV per atom
energy relative to the elements, uncorrected: -953.9 meV/atom

2.
This record from Alexandria via LeMat-Bulk describes crystalline TiTc2W at its relaxed geometry. The functional is GGA-PBE.

CIF file:
```
data_TiTc2W
_cell_length_a 4.4093
_cell_length_b 4.4093
_cell_length_c 3.1174
_cell_angle_alpha 90.00
_cell_angle_beta 90.00
_cell_angle_gamma 90.00
_space_group_name_H-M_alt 'P 4/m m m'
_space_group_IT_number 123
_space_group_name_Hall '-P 4 2'
loop_
_atom_site_label
_atom_site_type_symbol
_atom_site_fract_x
_atom_site_fract_y
_atom_site_fract_z
Ti1 Ti 0.0000 0.0000 0.0000
Tc1 Tc 0.0000 0.5000 0.5000
W1 W 0.5000 0.5000 0.0000
```

Output
N(E_F): 1.293 states/eV per cell
excess energy over the best structure of this formula in the dataset: 8 kJ/mol of formula units
size of the total moment: 0.00 μB per formula unit
formation enthalpy at 0 K: -1.5 eV/f.u.
final energy: -10.77 eV per atom

3.
This record from Alexandria via LeMat-Bulk describes crystalline CdBTe2W at its relaxed geometry. The functional is GGA-PBE.

CIF file:
```
data_CdBTe2W
_cell_length_a 5.3863
_cell_length_b 5.3863
_cell_length_c 4.2384
_cell_angle_alpha 90.00
_cell_angle_beta 90.00
_cell_angle_gamma 90.00
_space_group_name_H-M_alt 'P 4/m m m'
_space_group_IT_number 123
_space_group_name_Hall '-P 4 2'
loop_
_atom_site_label
_atom_site_type_symbol
_atom_site_fract_x
_atom_site_fract_y
_atom_site_fract_z
Cd1 Cd 0.0000 0.0000 0.0000
B1 B 0.5000 0.5000 0.0000
Te1 Te 0.0000 0.5000 0.5000
W1 W 0.5000 0.5000 0.5000
```

Output
N(E_F): 3.261 states/eV per cell
size of the total moment: 0.00 μB per formula unit
final energy: -4.65 eV per atom
energy relative to the elements, uncorrected: 717.4 meV/atom

4.
This record from Alexandria via LeMat-Bulk describes crystalline Cs2NpCu3F12 at its relaxed geometry. The functional is GGA-PBE.

CIF file:
```
data_Cs2NpCu3F12
_cell_length_a 7.3362
_cell_length_b 7.3362
_cell_length_c 21.8153
_cell_angle_alpha 90.00
_cell_angle_beta 90.00
_cell_angle_gamma 120.00
_space_group_name_H-M_alt 'R -3 m'
_space_group_IT_number 166
_space_group_name_Hall '-R 3 2"'
loop_
_atom_site_label
_atom_site_type_symbol
_atom_site_fract_x
_atom_site_fract_y
_atom_site_fract_z
Cs1 Cs 0.0000 0.0000 0.0932
Np1 Np 0.0000 0.0000 0.5000
Cu1 Cu 0.0000 0.5000 0.0000
F1 F 0.0522 0.5261 0.1143
F2 F 0.0744 0.5372 0.3417
```

Output
N(E_F): 47.589 states/eV per cell
size of the total moment: 0.84 μB per formula unit
final energy: -5.15 eV per atom
energy relative to the elements, uncorrected: -2410.4 meV/atom

5.
This record from Alexandria via LeMat-Bulk describes crystalline ZrTl2Mo at its relaxed geometry. The functional is GGA-PBE.

CIF file:
```
data_ZrTl2Mo
_cell_length_a 3.0608
_cell_length_b 4.4688
_cell_length_c 6.1374
_cell_angle_alpha 90.00
_cell_angle_beta 90.00
_cell_angle_gamma 90.00
_space_group_name_H-M_alt 'P m m m'
_space_group_IT_number 47
_space_group_name_Hall '-P 2 2'
loop_
_atom_site_label
_atom_site_type_symbol
_atom_site_fract_x
_atom_site_fract_y
_atom_site_fract_z
Zr1 Zr 0.0000 0.0000 0.0000
Tl1 Tl 0.5000 0.5000 0.2595
Mo1 Mo 0.0000 0.0000 0.5000
```

Output
N(E_F): 3.017 states/eV per cell
excess energy over the best structure of this formula in the dataset: 40 kJ/mol of formula units
size of the total moment: 0.00 μB per formula unit
formation enthalpy at 0 K: 1.7 eV/f.u.
final energy: -5.60 eV per atom

6.
This record from Alexandria via LeMat-Bulk describes crystalline VCuPtAu at its relaxed geometry. The functional is GGA-PBE.

CIF file:
```
data_VCuPtAu
_cell_length_a 6.2173
_cell_length_b 6.2173
_cell_length_c 6.2173
_cell_angle_alpha 90.00
_cell_angle_beta 90.00
_cell_angle_gamma 90.00
_space_group_name_H-M_alt 'F -4 3 m'
_space_group_IT_number 216
_space_group_name_Hall 'F -4 2 3'
loop_
_atom_site_label
_atom_site_type_symbol
_atom_site_fract_x
_atom_site_fract_y
_atom_site_fract_z
V1 V 0.0000 0.0000 0.0000
Cu1 Cu 0.0000 0.0000 0.5000
Pt1 Pt 0.2500 0.2500 0.7500
Au1 Au 0.2500 0.2500 0.2500
```

Output
N(E_F): 14.797 states/eV per cell
size of the total moment: 1.32 μB per formula unit
formation enthalpy at 0 K: -0.4 eV/f.u.
final energy: -5.73 eV per atom

7.
This record from Alexandria via LeMat-Bulk describes crystalline CaSe2N at its relaxed geometry. The functional is GGA-PBE.

CIF file:
```
data_CaSe2N
_cell_length_a 3.6219
_cell_length_b 3.6219
_cell_length_c 24.2046
_cell_angle_alpha 90.00
_cell_angle_beta 90.00
_cell_angle_gamma 120.00
_space_group_name_H-M_alt 'R -3 m'
_space_group_IT_number 166
_space_group_name_Hall '-R 3 2"'
loop_
_atom_site_label
_atom_site_type_symbol
_atom_site_fract_x
_atom_site_fract_y
_atom_site_fract_z
Ca1 Ca 0.0000 0.0000 0.0000
Se1 Se 0.0000 0.0000 0.1165
N1 N 0.0000 0.0000 0.5000
```

Output
N(E_F): 8.970 states/eV per cell
size of the total moment: 0.00 μB per formula unit
final energy: -3.44 eV per atom
energy relative to the elements, uncorrected: 888.2 meV/atom

8.
This record from Alexandria via LeMat-Bulk describes crystalline ZnGeS at its relaxed geometry. The functional is GGA-PBE.

CIF file:
```
data_ZnGeS
_cell_length_a 2.7571
_cell_length_b 4.1927
_cell_length_c 5.6244
_cell_angle_alpha 106.36
_cell_angle_beta 101.57
_cell_angle_gamma 96.98
_space_group_name_H-M_alt 'P 1'
_space_group_IT_number 1
_space_group_name_Hall 'P 1'
loop_
_atom_site_label
_atom_site_type_symbol
_atom_site_fract_x
_atom_site_fract_y
_atom_site_fract_z
Zn1 Zn 0.0000 0.0000 0.0000
Ge1 Ge 0.3446 0.4427 0.7807
S1 S 0.1845 0.4867 0.3624
```

Output
N(E_F): 0.732 states/eV per cell
size of the total moment: 0.00 μB per formula unit
final energy: -3.29 eV per atom
energy relative to the elements, uncorrected: 51.1 meV/atom

9.
This record from Alexandria via LeMat-Bulk describes crystalline Na3SmPb12 at its relaxed geometry. The functional is GGA-PBE.

CIF file:
```
data_Na3SmPb12
_cell_length_a 4.8600
_cell_length_b 4.8600
_cell_length_c 20.1428
_cell_angle_alpha 90.00
_cell_angle_beta 90.00
_cell_angle_gamma 90.00
_space_group_name_H-M_alt 'P 4/m m m'
_space_group_IT_number 123
_space_group_name_Hall '-P 4 2'
loop_
_atom_site_label
_atom_site_type_symbol
_atom_site_fract_x
_atom_site_fract_y
_atom_site_fract_z
Na1 Na 0.0000 0.0000 0.0000
Na2 Na 0.0000 0.0000 0.2507
Sm1 Sm 0.0000 0.0000 0.5000
Pb1 Pb 0.0000 0.5000 0.1246
Pb2 Pb 0.0000 0.5000 0.3737
Pb3 Pb 0.5000 0.5000 0.0000
Pb4 Pb 0.5000 0.5000 0.2474
Pb5 Pb 0.5000 0.5000 0.5000
```

Output
N(E_F): 6.798 states/eV per cell
size of the total moment: 0.00 μB per formula unit
formation enthalpy at 0 K: -2.8 eV/f.u.
final energy: -3.50 eV per atom

10.
This record from Alexandria via LeMat-Bulk describes crystalline MgNi2H4 at its relaxed geometry. The functional is GGA-PBE.

CIF file:
```
data_MgNi2H4
_cell_length_a 5.5370
_cell_length_b 5.5370
_cell_length_c 6.9627
_cell_angle_alpha 90.00
_cell_angle_beta 90.00
_cell_angle_gamma 90.00
_space_group_name_H-M_alt 'I 41/a m d'
_space_group_IT_number 141
loop_
_space_group_symop_operation_xyz
'x,y,z'
'-x,-y,-z'
'-y+1/4,x+3/4,z+1/4'
'y+1/4,-x+3/4,-z+1/4'
'-x+1/2,-y,z+1/2'
'x+1/2,y,-z+1/2'
'y+1/4,-x+1/4,z+3/4'
'-y+1/4,x+1/4,-z+3/4'
'x,-y,-z'
'-x,y,z'
'-y+1/4,-x+1/4,-z+3/4'
'y+1/4,x+1/4,z+3/4'
'-x+1/2,y,-z+1/2'
'x+1/2,-y,z+1/2'
'y+1/4,x+3/4,-z+1/4'
'-y+1/4,-x+3/4,z+1/4'
'x+1/2,y+1/2,z+1/2'
'-x+1/2,-y+1/2,-z+1/2'
'-y+3/4,x+1/4,z+3/4'
'y+3/4,-x+1/4,-z+3/4'
'-x,-y+1/2,z'
'x,y+1/2,-z'
'y+3/4,-x+3/4,z+1/4'
'-y+3/4,x+3/4,-z+1/4'
'x+1/2,-y+1/2,-z+1/2'
'-x+1/2,y+1/2,z+1/2'
'-y+3/4,-x+3/4,-z+1/4'
'y+3/4,x+3/4,z+1/4'
'-x,y+1/2,-z'
'x,-y+1/2,z'
'y+3/4,x+1/4,-z+3/4'
'-y+3/4,-x+1/4,z+3/4'
loop_
_atom_site_label
_atom_site_type_symbol
_atom_site_fract_x
_atom_site_fract_y
_atom_site_fract_z
Mg1 Mg 0.0000 0.2500 0.3750
Ni1 Ni 0.0000 0.0000 0.0000
H1 H 0.0000 0.0607 0.7603
```

Output
N(E_F): 3.086 states/eV per cell
excess energy over the best structure of this formula in the dataset: 6 kJ/mol of formula units
size of the total moment: 0.00 μB per formula unit
final energy: -3.89 eV per atom